Record 1
! PBE with a Hubbard U BaBMoO5, optimized geometry; values from VASP
&SYSTEM
  ibrav = 0, nat = 16, ntyp = 4
/
ATOMIC_SPECIES
Ba 137.33 Ba.upf
B 10.81 B.upf
Mo 95.94 Mo.upf
O 16.00 O.upf
CELL_PARAMETERS angstrom
3.3733 -4.4815 0.0000
3.3733 4.4815 0.0000
-3.0795 0.0000 6.7290
ATOMIC_POSITIONS crystal
Ba 0.1592 0.8408 0.7500
Ba 0.8408 0.1592 0.2500
B 0.1947 0.8053 0.2500
B 0.8053 0.1947 0.7500
Mo 0.5000 0.5000 0.0000
Mo 0.5000 0.5000 0.5000
O 0.0971 0.2792 0.8839
O 0.2129 0.6339 0.3770
O 0.2792 0.0971 0.3839
O 0.3661 0.7871 0.1230
O 0.4439 0.5561 0.7500
O 0.5561 0.4439 0.2500
O 0.6339 0.2129 0.8770
O 0.7208 0.9029 0.6161
O 0.7871 0.3661 0.6230
O 0.9029 0.7208 0.1161
! total magnetic moment: 1.0 μB/f.u.

Record 2
! PBE with a Hubbard U BaBMo2O8, optimized geometry; values from VASP
&SYSTEM
  ibrav = 0, nat = 12, ntyp = 4
/
ATOMIC_SPECIES
Ba 137.33 Ba.upf
B 10.81 B.upf
Mo 95.94 Mo.upf
O 16.00 O.upf
CELL_PARAMETERS angstrom
5.4417 0.0000 0.0000
-2.7209 4.7127 0.0000
0.0000 0.0000 7.0465
ATOMIC_POSITIONS crystal
Ba 0.0000 0.0000 0.0000
B 0.0000 0.0000 0.5000
Mo 0.3333 0.6667 0.2896
Mo 0.6667 0.3333 0.7104
O 0.1451 0.2901 0.3563
O 0.1451 0.8550 0.3563
O 0.2901 0.1451 0.6437
O 0.3333 0.6667 0.0340
O 0.6667 0.3333 0.9660
O 0.7099 0.8550 0.3563
O 0.8550 0.1451 0.6437
O 0.8550 0.7099 0.6437
! total magnetic moment: 1.0 μB/f.u.

Record 3
! PBE with a Hubbard U Ba2BMoO6, optimized geometry; values from VASP
&SYSTEM
  ibrav = 0, nat = 10, ntyp = 4
/
ATOMIC_SPECIES
Ba 137.33 Ba.upf
B 10.81 B.upf
Mo 95.94 Mo.upf
O 16.00 O.upf
CELL_PARAMETERS angstrom
0.0000 4.3873 4.6927
3.4952 0.0000 4.6927
3.4952 4.3873 0.0000
ATOMIC_POSITIONS crystal
Ba 0.2500 0.2500 0.2500
Ba 0.7500 0.7500 0.7500
B 0.0000 0.0000 0.0000
Mo 0.5000 0.5000 0.5000
O 0.1840 0.8160 0.8160
O 0.2847 0.7153 0.2847
O 0.2858 0.2858 0.7142
O 0.7142 0.7142 0.2858
O 0.7153 0.2847 0.7153
O 0.8160 0.1840 0.1840
! total magnetic moment: 1.0 μB/f.u.

For the records above, the corresponding uncorrected energy values read -114.626, -81.926, -69.145 eV per cell.